## w
PBE-GGA La4PrN4, optimized geometry; ρ = 6.7 g cm⁻³; calculated volume = 20.61 A^3/atom; density of states at the Fermi level = 0.489 states/eV/atom; space group = I4/m, No. 87
1.0
4.937 0.000 1.979
2.425 5.904 1.098
0.271 -0.113 6.470
La N Pr
4 4 1
direct
0.812 0.796 0.579
0.188 0.204 0.421
0.609 0.579 0.203
0.391 0.421 0.797
0.908 0.390 0.795
0.298 0.795 0.610
0.702 0.205 0.390
0.092 0.610 0.205
0.000 0.000 0.000

***

## x
PBE-GGA La4PrN4, optimized geometry; ρ = 5.9 g cm⁻³; calculated volume = 23.57 A^3/atom; density of states at the Fermi level = 0.652 states/eV/atom; space group = I-42m, No. 121
1.0
6.173 0.000 0.000
0.000 6.173 0.000
-3.087 -3.087 5.567
N La Pr
4 4 1
direct
0.359 0.861 0.220
0.139 0.139 0.780
0.641 0.641 0.780
0.861 0.359 0.220
0.000 0.500 0.000
0.298 0.298 0.595
0.500 0.000 0.000
0.702 0.702 0.405
0.000 0.000 0.000

***

Name the most stable of them. w.

***

## w
PBE-GGA LaPt3N, optimized geometry; ρ = 8.0 g cm⁻³; calculated volume = 30.61 A^3/atom; density of states at the Fermi level = 0.687 states/eV/atom; space group = Pm-3m, No. 221
1.0
-4.719 -1.281 -2.168
2.403 -0.910 -4.692
0.755 -5.113 1.378
Pt La N
3 1 1
direct
0.500 0.000 0.000
0.000 0.500 0.000
0.000 0.000 0.500
0.000 0.000 0.000
0.500 0.500 0.500

***

## x
PBE-GGA LaPt3N, optimized geometry; ρ = 14.3 g cm⁻³; calculated volume = 17.17 A^3/atom; density of states at the Fermi level = 0.275 states/eV/atom; space group = Pm-3m, No. 221
1.0
4.411 0.000 0.000
0.000 4.411 0.000
0.000 0.000 4.411
Pt La N
3 1 1
direct
0.500 0.000 0.000
0.000 0.000 0.500
0.000 0.500 0.000
0.500 0.500 0.500
0.000 0.000 0.000

***

Name the most stable of them. x.

***

## w
PBE-GGA LaPtS2N, optimized geometry; ρ = 7.2 g cm⁻³; calculated volume = 18.91 A^3/atom; density of states at the Fermi level = 0.297 states/eV/atom; space group = P4/mmm, No. 123
1.0
-2.044 -0.054 -4.541
-1.186 -4.800 0.591
-3.355 1.014 1.499
N S Pt La
1 2 1 1
direct
0.000 0.000 0.500
0.500 0.000 0.000
0.000 0.500 0.000
0.000 0.000 0.000
0.500 0.500 0.500

***

## x
PBE-GGA LaPtS2N, optimized geometry; ρ = 5.2 g cm⁻³; calculated volume = 26.12 A^3/atom; density of states at the Fermi level = 1.376 states/eV/atom; space group = P4/mmm, No. 123
1.0
-1.899 -1.435 -5.014
-4.996 -1.032 2.187
-1.144 4.019 -0.717
S Pt N La
2 1 1 1
direct
0.500 0.000 0.000
0.000 0.500 0.000
0.500 0.500 0.500
0.000 0.000 0.500
0.000 0.000 0.000

***

Name the most stable of them. w.

***

## w
PBE-GGA LaPtSeN2, optimized geometry; ρ = 6.8 g cm⁻³; calculated volume = 21.43 A^3/atom; density of states at the Fermi level = 0.989 states/eV/atom; space group = P4/mmm, No. 123
1.0
-2.034 -3.342 0.842
0.837 -1.427 -3.644
5.590 -2.803 2.381
La N Se Pt
1 2 1 1
direct
0.000 0.000 0.000
0.000 0.500 0.000
0.500 0.000 0.000
0.000 0.000 0.500
0.500 0.500 0.500

***

## x
PBE-GGA LaPtSeN2, optimized geometry; ρ = 8.4 g cm⁻³; calculated volume = 17.34 A^3/atom; density of states at the Fermi level = 0.624 states/eV/atom; space group = P4/mmm, No. 123
1.0
-3.426 0.607 2.290
-0.139 -4.071 0.872
2.838 0.769 4.041
Se N La Pt
1 2 1 1
direct
0.000 0.000 0.500
0.500 0.000 0.000
0.000 0.500 0.000
0.500 0.500 0.500
0.000 0.000 0.000

***

Name the most stable of them. x.

***

## w
PBE-GGA LaTePtN2, optimized geometry; ρ = 6.7 g cm⁻³; calculated volume = 24.09 A^3/atom; density of states at the Fermi level = 0.814 states/eV/atom; space group = P4/mmm, No. 123
1.0
-2.994 0.560 -2.670
-2.199 -2.843 1.869
-2.928 5.129 4.359
Pt La Te N
1 1 1 2
direct
0.500 0.500 0.500
0.000 0.000 0.000
0.000 0.000 0.500
0.000 0.500 0.000
0.500 0.000 0.000

***

## x
PBE-GGA LaTePtN2, optimized geometry; ρ = 8.3 g cm⁻³; calculated volume = 19.56 A^3/atom; density of states at the Fermi level = 0.609 states/eV/atom; space group = P4/mmm, No. 123
1.0
4.311 0.000 0.000
0.000 4.311 0.000
0.000 0.000 5.261
Te N Pt La
1 2 1 1
direct
0.000 0.000 0.500
0.000 0.500 0.000
0.500 0.000 0.000
0.000 0.000 0.000
0.500 0.500 0.500

***

Name the most stable of them. x.

***

## w
PBE-GGA La3PuN4, optimized geometry; ρ = 8.4 g cm⁻³; calculated volume = 17.67 A^3/atom; density of states at the Fermi level = 1.154 states/eV/atom; space group = P4/mmm, No. 123
1.0
3.683 0.000 0.000
0.000 3.683 0.000
0.000 0.000 10.423
La N Pu
3 4 1
direct
0.500 0.500 0.243
0.000 0.000 0.500
0.500 0.500 0.757
0.000 0.000 0.223
0.500 0.500 0.000
0.500 0.500 0.500
0.000 0.000 0.777
0.000 0.000 0.000

***

## x
PBE-GGA La3PuN4, optimized geometry; ρ = 8.5 g cm⁻³; calculated volume = 17.49 A^3/atom; density of states at the Fermi level = 1.058 states/eV/atom; space group = Cmmm, No. 65
1.0
3.674 0.000 0.000
0.000 6.348 0.237
0.000 -2.323 5.912
N La Pu
4 3 1
direct
0.000 0.771 0.771
0.500 0.767 0.233
0.500 0.233 0.767
0.000 0.229 0.229
0.000 0.500 0.000
0.000 0.000 0.500
0.500 0.500 0.500
0.500 0.000 0.000

***

Name the most stable of them. x.

***

## w
PBE-GGA La2PuN3, optimized geometry; ρ = 9.1 g cm⁻³; calculated volume = 17.15 A^3/atom; density of states at the Fermi level = 1.223 states/eV/atom; space group = Immm, No. 71
1.0
-0.658 3.554 0.041
-5.076 -0.943 0.228
3.118 -1.323 5.368
N Pu La
3 1 2
direct
0.141 0.641 0.781
0.859 0.359 0.219
0.500 0.000 0.500
0.500 0.500 0.500
0.164 0.164 0.828
0.836 0.836 0.172

***

## x
PBE-GGA La2PuN3, optimized geometry; ρ = 8.6 g cm⁻³; calculated volume = 18.20 A^3/atom; density of states at the Fermi level = 1.228 states/eV/atom; space group = Cmmm, No. 65
1.0
-0.280 -3.504 0.936
5.025 -0.670 -1.006
-1.230 1.701 6.000
N La Pu
3 2 1
direct
0.500 0.126 0.253
0.500 0.874 0.747
0.000 0.500 0.000
0.500 0.652 0.304
0.500 0.348 0.696
0.000 0.000 0.000

***

Name the most stable of them. w.

***

## w
PBE-GGA Rb2La2N, optimized geometry; ρ = 3.8 g cm⁻³; calculated volume = 40.51 A^3/atom; density of states at the Fermi level = 1.552 states/eV/atom; space group = P4/mbm, No. 127
1.0
-3.480 4.366 -4.305
-5.684 -0.440 4.148
2.659 6.379 4.320
La N Rb
4 2 4
direct
0.206 0.294 0.000
0.794 0.706 0.000
0.294 0.794 0.000
0.706 0.206 0.000
0.500 0.500 0.000
0.000 0.000 0.000
0.694 0.806 0.500
0.306 0.194 0.500
0.194 0.694 0.500
0.806 0.306 0.500

***

## x
PBE-GGA Rb2La2N, optimized geometry; ρ = 4.5 g cm⁻³; calculated volume = 34.12 A^3/atom; density of states at the Fermi level = 1.338 states/eV/atom; space group = I4/mmm, No. 139
1.0
-1.770 -3.508 -0.680
3.528 -1.594 -0.957
2.413 -5.312 9.435
La Rb N
2 2 1
direct
0.567 0.567 0.865
0.433 0.433 0.135
0.750 0.250 0.500
0.250 0.750 0.500
0.000 0.000 0.000

***

Name the most stable of them. w.

***

## w
PBE-GGA RbLaS2N, optimized geometry; ρ = 3.2 g cm⁻³; calculated volume = 31.86 A^3/atom; density of states at the Fermi level = 1.053 states/eV/atom; space group = P4/mmm, No. 123
1.0
-1.329 1.896 -5.129
-3.248 -4.520 -0.829
-3.933 2.472 1.933
S Rb N La
2 1 1 1
direct
0.000 0.500 0.000
0.500 0.000 0.000
0.500 0.500 0.500
0.000 0.000 0.500
0.000 0.000 0.000

***

## x
PBE-GGA RbLaS2N, optimized geometry; ρ = 3.8 g cm⁻³; calculated volume = 26.18 A^3/atom; density of states at the Fermi level = 0.472 states/eV/atom; space group = P4/mmm, No. 123
1.0
5.431 0.000 0.000
0.000 5.431 0.000
0.000 0.000 4.438
S Rb La N
2 1 1 1
direct
0.500 0.000 0.000
0.000 0.500 0.000
0.000 0.000 0.000
0.500 0.500 0.500
0.000 0.000 0.500

***

Name the most stable of them. w.

***

## w
PBE-GGA RbLaSe2N, optimized geometry; ρ = 4.0 g cm⁻³; calculated volume = 32.64 A^3/atom; density of states at the Fermi level = 0.923 states/eV/atom; space group = P4/mmm, No. 123
1.0
6.107 0.000 0.000
0.000 6.107 0.000
0.000 0.000 4.375
N Se Rb La
1 2 1 1
direct
0.000 0.000 0.500
0.500 0.000 0.000
0.000 0.500 0.000
0.500 0.500 0.500
0.000 0.000 0.000

***

## x
PBE-GGA RbLaSe2N, optimized geometry; ρ = 4.5 g cm⁻³; calculated volume = 29.14 A^3/atom; density of states at the Fermi level = 0.520 states/eV/atom; space group = P4/mmm, No. 123
1.0
-5.263 -0.513 2.150
-1.960 -1.483 -5.152
0.800 -4.300 0.933
Se N La Rb
2 1 1 1
direct
0.000 0.500 0.000
0.500 0.000 0.000
0.000 0.000 0.500
0.500 0.500 0.500
0.000 0.000 0.000

***

Name the most stable of them. w.

***

## w
PBE-GGA RbLaTeN2, optimized geometry; ρ = 4.5 g cm⁻³; calculated volume = 27.74 A^3/atom; density of states at the Fermi level = 0.555 states/eV/atom; space group = P4/mmm, No. 123
1.0
-2.450 -1.734 -3.548
-2.713 -2.294 2.995
-3.965 5.045 0.273
La Te N Rb
1 1 2 1
direct
0.500 0.500 0.500
0.000 0.000 0.500
0.500 0.000 0.000
0.000 0.500 0.000
0.000 0.000 0.000

***

## x
PBE-GGA RbLaTeN2, optimized geometry; ρ = 4.0 g cm⁻³; calculated volume = 31.94 A^3/atom; density of states at the Fermi level = 0.689 states/eV/atom; space group = P4/mmm, No. 123
1.0
-0.867 -1.730 4.598
-0.403 -4.628 -1.818
6.298 -0.884 0.855
Rb Te N La
1 1 2 1
direct
0.500 0.500 0.500
0.000 0.000 0.500
0.500 0.000 0.000
0.000 0.500 0.000
0.000 0.000 0.000

***

Name the most stable of them. x.

***

## w
PBE-GGA La2ReN4, optimized geometry; ρ = 8.7 g cm⁻³; calculated volume = 14.19 A^3/atom; density of states at the Fermi level = 0.316 states/eV/atom; space group = I4/mmm, No. 139
1.0
3.944 0.000 0.000
0.000 3.944 0.000
1.972 1.972 6.382
N La Re
4 2 1
direct
0.164 0.164 0.671
0.500 0.000 0.000
0.836 0.836 0.329
0.000 0.500 0.000
0.646 0.646 0.709
0.354 0.354 0.291
0.000 0.000 0.000

***

## x
PBE-GGA La2ReN4, optimized geometry; ρ = 7.2 g cm⁻³; calculated volume = 17.11 A^3/atom; density of states at the Fermi level = 0.435 states/eV/atom; space group = P2_1/m, No. 11
1.0
6.097 0.000 0.006
0.000 5.918 0.000
-2.234 0.000 6.635
La N Re
4 8 2
direct
0.701 0.750 0.042
0.222 0.250 0.433
0.778 0.750 0.567
0.299 0.250 0.958
0.446 0.508 0.249
0.931 0.250 0.075
0.446 0.992 0.249
0.554 0.492 0.751
0.946 0.250 0.641
0.054 0.750 0.359
0.069 0.750 0.925
0.554 0.008 0.751
0.759 0.250 0.806
0.241 0.750 0.194

***

Name the most stable of them. w.